Y2FeMo | PBE-GGA | relaxed

```
4
Lattice="3.531 0.000 0.000 0.000 3.531 0.000 0.000 0.000 6.801" Properties=species:S:1:pos:R:3 pbc="T T T"
Y 0.000 0.000 1.654
Y 0.000 0.000 5.147
Fe 1.766 1.766 0.000
Mo 1.766 1.766 3.401
```

Output
Crystal system: tetragonal
E_tot (eV per atom): -7.642
Relative energy among the computed polymorphs (meV per atom): 255.8
Calculated formation energy (eV per atom): 0.41

RbIn2AgRh | PBE-GGA | relaxed

```
5
Lattice="5.153 0.000 0.000 0.000 5.153 0.000 0.000 0.000 5.522" Properties=species:S:1:pos:R:3 pbc="T T T"
Rb 0.000 0.000 0.000
In 0.000 2.576 2.761
In 2.576 0.000 2.761
Ag 2.576 2.576 0.000
Rh 2.576 2.576 2.761
```

Output
Crystal system: tetragonal
E_tot (eV per atom): -3.415
Calculated formation energy (eV per atom): -0.09